Entry 1:
First-principles (PBE) data for an optimized crystal structure of LiTaAsO, as listed in the Open Quantum Materials Database.

Values from the calculation:
polymorph energy (0 for the lowest one)	53	meV per atom
raw total energy	-7.15	eV/atom

Cell: 3.933 5.651 5.203 Å, 90.00 90.00 90.00°
Space group Pmc2_1 (No. 26)
One atom of each set of equivalent atoms:
1 Li 0.000 0.001 0.000
2 Ta 0.500 0.332 0.750
3 As 0.500 0.214 0.250
4 O 0.000 0.275 0.750

Entry 2:
First-principles (PBE) data for an optimized crystal structure of Zr3Fe2Re2, as listed in the Open Quantum Materials Database.

Values from the calculation:
raw total energy	-9.12	eV/atom
formation energy from the elements	0.47	eV per atom

Cell: 4.4761 4.4761 21.8062 Å, 90.00 90.00 120.00°
Space group R3m (No. 160, hexagonal axes)
One atom of each set of equivalent atoms:
1 Zr 0.0000 0.0000 0.0000
2 Zr 0.0000 0.0000 0.2447
3 Zr 0.0000 0.0000 0.7537
4 Fe 0.0000 0.0000 0.3769
5 Fe 0.0000 0.0000 0.8698
6 Re 0.0000 0.0000 0.1256
7 Re 0.0000 0.0000 0.6221